Record 1
First-principles (GGA-PBE) data for a relaxed GaCuP2Cl crystal, as listed in the Alexandria database.

Geometry as extended XYZ:
```
5
Lattice="4.7128 0.0000 0.0000 0.0000 4.7128 0.0000 0.0000 0.0000 4.8916" Properties=species:S:1:pos:R:3 pbc="T T T"
Ga 0.0000 0.0000 0.0000
Cu 2.3564 2.3564 2.4458
P 0.0000 2.3564 0.0000
P 2.3564 0.0000 0.0000
Cl 0.0000 0.0000 2.4458
```

Calculated volume, Å³ per cell: 109
Formation energy (no corrections), eV/atom: 0.832
Relative energy among the computed polymorphs, meV/atom: 380

Record 2
First-principles (GGA-PBE) data for a relaxed Pm2NdAg crystal, as listed in the Alexandria database.

Geometry as extended XYZ:
```
8
Lattice="3.7724 0.0000 0.0000 0.0000 10.2175 0.0000 -1.8845 0.0000 6.3174" Properties=species:S:1:pos:R:3 pbc="T T T"
Pm 0.0055 0.4631 1.6841
Pm 0.0055 4.6457 1.6841
Pm 1.8825 5.5718 4.6332
Pm 1.8825 9.7544 4.6332
Nd 0.0022 2.5544 5.6223
Nd 1.8858 7.6631 0.6950
Ag -0.0032 7.6631 3.2912
Ag 1.8912 2.5544 3.0262
```

Calculated volume, Å³ per cell: 244
Relative energy among the computed polymorphs, meV/atom: 0

Record 3
First-principles (GGA-PBE) data for a relaxed AcRe4Ge12 crystal, as listed in the Alexandria database.

Geometry as extended XYZ:
```
17
Lattice="-4.4597 4.4597 4.4597 4.4597 -4.4597 4.4597 4.4597 4.4597 -4.4597" Properties=species:S:1:pos:R:3 pbc="T T T"
Ac 0.0000 0.0000 0.0000
Re 2.2299 2.2299 -2.2299
Re 2.2299 -2.2299 2.2299
Re -2.2299 2.2299 2.2299
Re 2.2299 2.2299 2.2299
Ge 3.0649 1.4924 0.0000
Ge 5.8545 1.4924 0.0000
Ge 4.4597 -1.3948 2.9674
Ge 2.9674 4.4597 -1.3948
Ge 1.4924 0.0000 3.0649
Ge 4.4597 1.3948 2.9674
Ge 0.0000 3.0649 1.4924
Ge 2.9674 4.4597 1.3948
Ge 1.4924 0.0000 5.8545
Ge 0.0000 5.8545 1.4924
Ge -1.3948 2.9674 4.4597
Ge 1.3948 2.9674 4.4597
```

Calculated volume, Å³ per cell: 355
Electronic total energy, eV per atom: -6.15

What is the formula in the second record?
Pm2NdAg

Which of these has the lowest calculated volume?
GaCuP2Cl

Which formula does entry 1 have?
GaCuP2Cl

What did the third record say?
First-principles (GGA-PBE) data for a relaxed AcRe4Ge12 crystal, as listed in the Alexandria database.

Geometry as extended XYZ:
```
17
Lattice="-4.4597 4.4597 4.4597 4.4597 -4.4597 4.4597 4.4597 4.4597 -4.4597" Properties=species:S:1:pos:R:3 pbc="T T T"
Ac 0.0000 0.0000 0.0000
Re 2.2299 2.2299 -2.2299
Re 2.2299 -2.2299 2.2299
Re -2.2299 2.2299 2.2299
Re 2.2299 2.2299 2.2299
Ge 3.0649 1.4924 0.0000
Ge 5.8545 1.4924 0.0000
Ge 4.4597 -1.3948 2.9674
Ge 2.9674 4.4597 -1.3948
Ge 1.4924 0.0000 3.0649
Ge 4.4597 1.3948 2.9674
Ge 0.0000 3.0649 1.4924
Ge 2.9674 4.4597 1.3948
Ge 1.4924 0.0000 5.8545
Ge 0.0000 5.8545 1.4924
Ge -1.3948 2.9674 4.4597
Ge 1.3948 2.9674 4.4597
```

Calculated volume, Å³ per cell: 355
Electronic total energy, eV per atom: -6.15